Record 1
# CeMgInSb, relaxed, DFT PBE
data_CeMgInSb
_chemical_formula_sum 'Ce1 Mg1 In1 Sb1'
_space_group_name_H-M_alt 'P 1'
_space_group_IT_number 1
_space_group_name_Hall 'P 1'
_cell_length_a 4.409
_cell_length_b 4.669
_cell_length_c 4.996
_cell_angle_alpha 90.00
_cell_angle_beta 90.00
_cell_angle_gamma 90.00
loop_
_atom_site_label
_atom_site_fract_x
_atom_site_fract_y
_atom_site_fract_z
Sb1 0.500 0.000 0.500
Ce1 0.000 0.500 0.500
Mg1 0.000 0.000 0.000
In1 0.500 0.500 0.000
# Formation energy from raw total energies, eV/atom: -0.518



Record 2
# CeMgScIn, relaxed, DFT PBE
data_CeMgScIn
_chemical_formula_sum 'Ce1 Mg1 Sc1 In1'
_space_group_name_H-M_alt 'P 1'
_space_group_IT_number 1
_space_group_name_Hall 'P 1'
_cell_length_a 5.239
_cell_length_b 5.239
_cell_length_c 5.239
_cell_angle_alpha 60.00
_cell_angle_beta 60.00
_cell_angle_gamma 60.00
loop_
_atom_site_label
_atom_site_fract_x
_atom_site_fract_y
_atom_site_fract_z
Mg1 0.750 0.750 0.750
Sc1 0.000 0.000 0.000
Ce1 0.500 0.500 0.500
In1 0.250 0.250 0.250
# Energy of formation, eV per atom: -0.211



Record 3
# CeSmMgIn, relaxed, DFT PBE
data_CeSmMgIn
_chemical_formula_sum 'Ce1 Sm1 Mg1 In1'
_space_group_name_H-M_alt 'P 1'
_space_group_IT_number 1
_space_group_name_Hall 'P 1'
_cell_length_a 4.881
_cell_length_b 4.881
_cell_length_c 5.777
_cell_angle_alpha 115.00
_cell_angle_beta 114.99
_cell_angle_gamma 90.00
loop_
_atom_site_label
_atom_site_fract_x
_atom_site_fract_y
_atom_site_fract_z
In1 0.250 0.750 0.500
Sm1 0.500 0.500 0.000
Mg1 0.750 0.250 0.500
Ce1 0.000 0.000 0.000
# Energy of formation, eV per atom: -0.216



Record 4
# CeSmMgIn, relaxed, DFT PBE
data_CeSmMgIn
_chemical_formula_sum 'Ce1 Sm1 Mg1 In1'
_space_group_name_H-M_alt 'P 1'
_space_group_IT_number 1
_space_group_name_Hall 'P 1'
_cell_length_a 5.432
_cell_length_b 5.432
_cell_length_c 5.432
_cell_angle_alpha 60.00
_cell_angle_beta 60.00
_cell_angle_gamma 60.00
loop_
_atom_site_label
_atom_site_fract_x
_atom_site_fract_y
_atom_site_fract_z
Mg1 0.750 0.750 0.750
Sm1 0.000 0.000 0.000
In1 0.250 0.250 0.250
Ce1 0.500 0.500 0.500
# Energy of formation, eV per atom: -0.226



Record 5
# TbCeMgIn, relaxed, DFT PBE
data_TbCeMgIn
_chemical_formula_sum 'Tb1 Ce1 Mg1 In1'
_space_group_name_H-M_alt 'P 1'
_space_group_IT_number 1
_space_group_name_Hall 'P 1'
_cell_length_a 5.389
_cell_length_b 5.389
_cell_length_c 5.389
_cell_angle_alpha 60.00
_cell_angle_beta 60.00
_cell_angle_gamma 60.00
loop_
_atom_site_label
_atom_site_fract_x
_atom_site_fract_y
_atom_site_fract_z
Tb1 0.750 0.750 0.750
In1 0.500 0.500 0.500
Ce1 0.250 0.250 0.250
Mg1 0.000 0.000 0.000
# Energy of formation, eV per atom: -0.228



Record 6
# Ce2ThMg2In2, relaxed, DFT PBE
data_Ce2ThMg2In2
_chemical_formula_sum 'Ce2 Th1 Mg2 In2'
_space_group_name_H-M_alt 'P 1'
_space_group_IT_number 1
_space_group_name_Hall 'P 1'
_cell_length_a 4.831
_cell_length_b 4.831
_cell_length_c 9.627
_cell_angle_alpha 75.47
_cell_angle_beta 75.47
_cell_angle_gamma 60.00
loop_
_atom_site_label
_atom_site_fract_x
_atom_site_fract_y
_atom_site_fract_z
In1 0.267 0.267 0.200
In2 0.733 0.733 0.800
Ce1 0.855 0.855 0.434
Ce2 0.145 0.145 0.566
Th1 0.000 0.000 0.000
Mg1 0.588 0.588 0.235
Mg2 0.412 0.412 0.765
# Energy of formation, eV per atom: -0.115



Record 7
# CeTmMg2In2, relaxed, DFT PBE
data_CeTmMg2In2
_chemical_formula_sum 'Ce1 Tm1 Mg2 In2'
_space_group_name_H-M_alt 'P 1'
_space_group_IT_number 1
_space_group_name_Hall 'P 1'
_cell_length_a 4.991
_cell_length_b 4.991
_cell_length_c 7.125
_cell_angle_alpha 90.00
_cell_angle_beta 90.00
_cell_angle_gamma 120.00
loop_
_atom_site_label
_atom_site_fract_x
_atom_site_fract_y
_atom_site_fract_z
Tm1 0.000 0.000 0.500
Ce1 0.000 0.000 0.000
In1 0.333 0.667 0.250
In2 0.667 0.333 0.750
Mg1 0.333 0.667 0.738
Mg2 0.667 0.333 0.262
# Energy of formation, eV per atom: -0.300



Record 8
# CeTm2Mg2In2, relaxed, DFT PBE
data_CeTm2Mg2In2
_chemical_formula_sum 'Ce1 Tm2 Mg2 In2'
_space_group_name_H-M_alt 'P 1'
_space_group_IT_number 1
_space_group_name_Hall 'P 1'
_cell_length_a 5.039
_cell_length_b 5.039
_cell_length_c 9.011
_cell_angle_alpha 73.76
_cell_angle_beta 73.76
_cell_angle_gamma 60.00
loop_
_atom_site_label
_atom_site_fract_x
_atom_site_fract_y
_atom_site_fract_z
Tm1 0.869 0.869 0.392
Tm2 0.131 0.131 0.608
Ce1 0.000 0.000 0.000
Mg1 0.592 0.592 0.225
Mg2 0.408 0.408 0.775
In1 0.262 0.262 0.215
In2 0.738 0.738 0.785
# Energy of formation, eV per atom: -0.175